1.
! PBE Ti4InCu2, optimized geometry; values from VASP
&SYSTEM
  ibrav = 0, nat = 7, ntyp = 3
/
ATOMIC_SPECIES
Ti 47.87 Ti.upf
In 114.82 In.upf
Cu 63.55 Cu.upf
CELL_PARAMETERS angstrom
4.090 0.000 0.000
2.045 3.542 0.000
2.045 1.181 9.077
ATOMIC_POSITIONS crystal
Ti 0.400 0.400 0.800
Ti 0.195 0.195 0.414
Ti 0.805 0.805 0.586
Ti 0.600 0.600 0.200
In 0.000 0.000 0.000
Cu 0.099 0.099 0.702
Cu 0.901 0.901 0.298
! Formation energy from the elements = 2.36 eV per formula unit
! Final energy = -0.422 Ry/atom
! Calculated density = 5473 kg/m³
! Volume = 132 Å³ per cell


2.
! PBE Ti3InCu, optimized geometry; values from VASP
&SYSTEM
  ibrav = 0, nat = 5, ntyp = 3
/
ATOMIC_SPECIES
Ti 47.87 Ti.upf
Cu 63.55 Cu.upf
In 114.82 In.upf
CELL_PARAMETERS angstrom
-2.135 3.971 1.035
-3.799 -1.472 -2.190
-1.551 -1.861 3.941
ATOMIC_POSITIONS crystal
Ti 0.000 0.500 0.000
Ti 0.000 0.000 0.500
Ti 0.500 0.000 0.000
Cu 0.000 0.000 0.000
In 0.500 0.500 0.500
! Formation energy from the elements = 1.88 eV per formula unit
! Final energy = -0.421 Ry/atom
! E above lowest polymorph = 0.468 eV per atom
! Calculated density = 5402 kg/m³
! Volume = 99 Å³ per cell


3.
! PBE TiIn2Cu, optimized geometry; values from VASP
&SYSTEM
  ibrav = 0, nat = 8, ntyp = 3
/
ATOMIC_SPECIES
Ti 47.87 Ti.upf
Cu 63.55 Cu.upf
In 114.82 In.upf
CELL_PARAMETERS angstrom
7.459 0.000 0.000
0.000 7.459 0.000
3.729 3.729 2.911
ATOMIC_POSITIONS crystal
Ti 0.500 0.500 0.000
Ti 0.250 0.750 0.500
Cu 0.000 0.000 0.000
Cu 0.750 0.250 0.500
In 0.657 0.125 0.250
In 0.093 0.625 0.250
In 0.375 0.343 0.750
In 0.875 0.907 0.750
! Formation energy from the elements = 0.92 eV per formula unit
! Final energy = -0.304 Ry/atom
! Calculated density = 6994 kg/m³
! Volume = 162 Å³ per cell


4.
! PBE TiIn3Cu, optimized geometry; values from VASP
&SYSTEM
  ibrav = 0, nat = 5, ntyp = 3
/
ATOMIC_SPECIES
Ti 47.87 Ti.upf
Cu 63.55 Cu.upf
In 114.82 In.upf
CELL_PARAMETERS angstrom
4.935 0.000 0.000
0.000 4.935 0.000
0.000 0.000 4.935
ATOMIC_POSITIONS crystal
Ti 0.500 0.500 0.500
Cu 0.000 0.000 0.000
In 0.000 0.500 0.000
In 0.000 0.000 0.500
In 0.500 0.000 0.000
! Formation energy from the elements = 2.76 eV per formula unit
! Final energy = -0.256 Ry/atom
! E above lowest polymorph = 0.000 eV per atom
! Calculated density = 6299 kg/m³
! Volume = 120 Å³ per cell


5.
! PBE Ti4In2Cu, optimized geometry; values from VASP
&SYSTEM
  ibrav = 0, nat = 7, ntyp = 3
/
ATOMIC_SPECIES
Ti 47.87 Ti.upf
Cu 63.55 Cu.upf
In 114.82 In.upf
CELL_PARAMETERS angstrom
4.503 0.000 0.000
0.000 4.503 0.000
2.251 2.251 7.256
ATOMIC_POSITIONS crystal
Ti 0.169 0.169 0.662
Ti 0.831 0.831 0.338
Ti 0.000 0.500 0.000
Ti 0.500 0.000 0.000
Cu 0.000 0.000 0.000
In 0.364 0.364 0.272
In 0.636 0.636 0.728
! Formation energy from the elements = 2.75 eV per formula unit
! Final energy = -0.403 Ry/atom
! Calculated density = 5470 kg/m³
! Volume = 147 Å³ per cell


6.
! PBE Ti2InCu2, optimized geometry; values from VASP
&SYSTEM
  ibrav = 0, nat = 5, ntyp = 3
/
ATOMIC_SPECIES
Ti 47.87 Ti.upf
Cu 63.55 Cu.upf
In 114.82 In.upf
CELL_PARAMETERS angstrom
-0.466 -3.764 -1.180
-1.174 -1.003 3.660
-6.006 -1.312 -0.131
ATOMIC_POSITIONS crystal
Ti 0.750 0.250 0.500
Ti 0.250 0.750 0.500
Cu 0.397 0.397 0.207
Cu 0.603 0.603 0.793
In 0.000 0.000 0.000
! Formation energy from the elements = 0.63 eV per formula unit
! Final energy = -0.384 Ry/atom
! Calculated density = 6497 kg/m³
! Volume = 86 Å³ per cell